DFT (PBE-GGA) results for NaSi2PbS6 after structural relaxation.

* density of states at the Fermi level: 6.6 states/eV/cell
* formation energy (no corrections): -0.60 eV/atom
* calculated volume: 236.1 Å³/f.u.

The structure in POSCAR format:
```
NaSi2PbS6
1.0
6.583 -0.096 -0.100
1.980 8.437 0.309
1.980 -0.004 8.443
Si S Pb Na
4 12 2 2
Cartesian
4.539 6.671 5.578
7.831 5.278 6.823
2.713 3.059 1.829
6.004 1.666 3.074
4.679 3.408 2.731
2.573 5.782 5.195
2.567 1.563 0.360
4.685 8.083 7.127
7.976 6.774 8.292
2.142 4.914 0.989
5.864 4.929 5.921
5.110 7.579 3.755
7.971 2.555 3.457
5.858 0.254 1.525
8.401 3.423 7.663
5.433 0.758 4.897
3.626 7.291 1.365
6.917 1.046 7.287
6.917 5.555 2.942
3.626 2.782 5.710
```

=====

DFT (PBE-GGA) results for Pm4Tm3Tl4 after structural relaxation.

* density of states at the Fermi level: 10.3 states/eV/cell
* calculated formation energy: -0.2327 eV per atom
* calculated volume: 329.9 Å³/f.u.

The structure in POSCAR format:
```
Pm4Tm3Tl4
1.0
-2.266 -2.778 0.554
-0.657 -1.320 -9.304
8.972 -4.010 4.704
Tl Tm Pm
4 3 4
Cartesian
-1.646 -2.421 -6.990
-1.277 -1.678 -1.759
2.232 -4.104 0.425
3.817 -4.005 -4.470
1.408 -1.136 0.062
-0.328 -0.660 -4.652
4.641 -6.972 -4.107
4.980 -4.344 -1.417
0.838 -4.230 -5.909
1.069 -3.765 -2.628
5.211 -3.878 1.864
```

=====

- Number 2 is which compound?
  Pm4Tm3Tl4